# 1
VASP calculation (PBE) on a relaxed structure of TcAg2W.

```
data_TcAg2W
_cell_length_a 9.9685
_cell_length_b 2.7504
_cell_length_c 4.8054
_cell_angle_alpha 90.00
_cell_angle_beta 98.92
_cell_angle_gamma 90.00
_symmetry_space_group_name_H-M 'C 1 2/m 1'
_symmetry_Int_Tables_number 12
loop_
_symmetry_equiv_pos_as_xyz
'x,y,z'
'-x,-y,-z'
'-x,y,-z'
'x,-y,z'
'x+1/2,y+1/2,z'
'-x+1/2,-y+1/2,-z'
'-x+1/2,y+1/2,-z'
'x+1/2,-y+1/2,z'
loop_
_atom_site_label
_atom_site_fract_x
_atom_site_fract_y
_atom_site_fract_z
_atom_site_occupancy
Tc1 0.0000 0.0000 0.0000 1
Ag1 0.2490 0.5000 0.2497 1
W1 0.0000 0.5000 0.5000 1
```

Relative energy among the computed polymorphs ... 230 meV per atom
Fermi-level density of states ... 0.761 states/eV per atom
Calculated total energy ... -6.7037 eV per atom
Formation enthalpy at 0 K ... 2.21 eV per formula unit

# 2
VASP calculation (PBE) on a relaxed structure of Pr3InGe2Pd9.

```
data_Pr3InGe2Pd9
_cell_length_a 5.8034
_cell_length_b 5.8034
_cell_length_c 11.3073
_cell_angle_alpha 90.00
_cell_angle_beta 90.00
_cell_angle_gamma 120.00
_symmetry_space_group_name_H-M 'P -3 m 1'
_symmetry_Int_Tables_number 164
_symmetry_space_group_name_Hall '-P 3 2"'
loop_
_atom_site_label
_atom_site_fract_x
_atom_site_fract_y
_atom_site_fract_z
_atom_site_occupancy
Pr1 0.0000 0.0000 0.0000 1
Pr2 0.3333 0.6667 0.6032 1
In1 0.0000 0.0000 0.5000 1
Ge1 0.3333 0.6667 0.1590 1
Pd1 0.0000 0.5000 0.0000 1
Pd2 0.1650 0.3301 0.3130 1
```

Fermi-level density of states ... 0.373 states/eV per atom
Calculated total energy ... -5.4119 eV per atom
Formation enthalpy at 0 K ... -8.13 eV per formula unit

# 3
VASP calculation (PBE) on a relaxed structure of Cs2CuSCl6.

```
data_Cs2CuSCl6
_cell_length_a 7.2540
_cell_length_b 7.2540
_cell_length_c 11.1618
_cell_angle_alpha 90.00
_cell_angle_beta 90.00
_cell_angle_gamma 90.00
_symmetry_space_group_name_H-M 'I 4/m m m'
_symmetry_Int_Tables_number 139
_symmetry_space_group_name_Hall '-I 4 2'
loop_
_atom_site_label
_atom_site_fract_x
_atom_site_fract_y
_atom_site_fract_z
_atom_site_occupancy
Cs1 0.0000 0.5000 0.2500 1
Cu1 0.0000 0.0000 0.0000 1
S1 0.0000 0.0000 0.5000 1
Cl1 0.0000 0.0000 0.1947 1
Cl2 0.2282 0.2282 0.5000 1
```

Fermi-level density of states ... 0.478 states/eV per atom
Energy relative to the elements, uncorrected ... -0.967 eV per atom
Calculated total energy ... -3.0678 eV per atom